Density functional theory data (PBE with a Hubbard U) for a geometry-optimized LiVF4 structure.

abc: 6.6124 6.6124 6.6303
angles: 106.47 106.47 35.34
Fractional coordinates of all 12 atoms:
Li  0.1977  0.1977  0.2956
Li  0.8023  0.8023  0.7044
V  0.1098  0.1098  0.7055
V  0.8902  0.8902  0.2945
F  0.0563  0.0563  0.3751
F  0.1398  0.1398  0.9978
F  0.2543  0.2543  0.6593
F  0.3769  0.3769  0.3044
F  0.6231  0.6231  0.6956
F  0.7457  0.7457  0.3407
F  0.8602  0.8602  0.0022
F  0.9437  0.9437  0.6249

## Properties
As for the space-group type: C2/m (12). As for the spin magnetization: 2.0 μB per formula unit. The calculation puts the excess energy over the best structure of this formula in the dataset at 0.205 eV per formula unit.